## MoO5 (GGA+U)

Data for a relaxed MoO5 crystal.

Fermi-level density of states (states/eV per atom): 0.007
Energy above the lowest structure with this stoichiometry (kJ/mol of formula units): 0
Volume (Å³/cell): 185

Geometry as CIF:
```
data_MoO5
_cell_length_a 3.966
_cell_length_b 6.077
_cell_length_c 7.697
_cell_angle_alpha 90.00
_cell_angle_beta 90.01
_cell_angle_gamma 90.00
_symmetry_space_group_name_H-M 'P 1 m 1'
_symmetry_Int_Tables_number 6
loop_
_symmetry_equiv_pos_as_xyz
'x,y,z'
'x,-y,z'
loop_
_atom_site_label
_atom_site_fract_x
_atom_site_fract_y
_atom_site_fract_z
Mo1 0.000 0.000 0.000
Mo2 0.143 0.000 0.500
O1 0.016 0.320 0.971
O2 0.063 0.000 0.732
O3 0.073 0.321 0.504
O4 0.075 0.000 0.232
O5 0.192 0.500 0.043
O6 0.225 0.500 0.419
O7 0.553 0.000 0.980
O8 0.584 0.000 0.475
```